Entry 1:
# BaMnCu2, PBEsol geometry, DFT SCAN
# Space-group type: Cmmm (65)
# Density of states at the Fermi level in states/eV per atom: 0.4809
# Calculated formation energy in eV/atom: 0.468
# M_tot in μB/atom: 1.081
data_BaMnCu2
_cell_length_a 3.174
_cell_length_b 4.970
_cell_length_c 4.970
_cell_angle_alpha 90.07
_cell_angle_beta 90.00
_cell_angle_gamma 90.00
_space_group_name_H-M_alt 'P 1'
_space_group_IT_number 1
loop_
_space_group_symop_operation_xyz
'x,y,z'
loop_
_atom_site_label
_atom_site_fract_x
_atom_site_fract_y
_atom_site_fract_z
Mn1 0.500 0.000 0.000
Cu1 0.000 0.500 0.000
Cu2 0.000 0.000 0.500
Ba1 0.500 0.500 0.500



Entry 2:
# BaMn3Cu, PBEsol geometry, DFT SCAN
# Space-group type: Pm-3m (221)
# Density of states at the Fermi level in states/eV per atom: 0.7202
# Calculated formation energy in eV/atom: 2.129
# M_tot in μB/atom: 2.282
data_BaMn3Cu
_cell_length_a 4.934
_cell_length_b 4.934
_cell_length_c 4.934
_cell_angle_alpha 90.00
_cell_angle_beta 90.00
_cell_angle_gamma 90.00
_space_group_name_H-M_alt 'P 1'
_space_group_IT_number 1
loop_
_space_group_symop_operation_xyz
'x,y,z'
loop_
_atom_site_label
_atom_site_fract_x
_atom_site_fract_y
_atom_site_fract_z
Cu1 0.500 0.500 0.500
Mn1 0.500 0.000 0.000
Mn2 0.000 0.500 0.000
Mn3 0.000 0.000 0.500
Ba1 0.000 0.000 0.000



Entry 3:
# BaMnCu2, PBEsol geometry, DFT SCAN
# Space-group type: P4/mmm (123)
# Density of states at the Fermi level in states/eV per atom: 0.6508
# Calculated formation energy in eV/atom: 0.171
# M_tot in μB/atom: 1.025
data_BaMnCu2
_cell_length_a 3.252
_cell_length_b 3.252
_cell_length_c 7.150
_cell_angle_alpha 90.00
_cell_angle_beta 90.00
_cell_angle_gamma 90.00
_space_group_name_H-M_alt 'P 1'
_space_group_IT_number 1
loop_
_space_group_symop_operation_xyz
'x,y,z'
loop_
_atom_site_label
_atom_site_fract_x
_atom_site_fract_y
_atom_site_fract_z
Mn1 0.500 0.500 0.000
Ba1 0.500 0.500 0.500
Cu1 0.000 0.000 0.168
Cu2 0.000 0.000 0.832



Entry 4:
# BaMnCu, PBEsol geometry, DFT SCAN
# Space-group type: F-43m (216)
# Density of states at the Fermi level in states/eV per atom: 0.6384
# Calculated formation energy in eV/atom: 0.647
# M_tot in μB/atom: 1.264
data_BaMnCu
_cell_length_a 4.821
_cell_length_b 4.821
_cell_length_c 4.821
_cell_angle_alpha 60.00
_cell_angle_beta 60.00
_cell_angle_gamma 60.00
_space_group_name_H-M_alt 'P 1'
_space_group_IT_number 1
loop_
_space_group_symop_operation_xyz
'x,y,z'
loop_
_atom_site_label
_atom_site_fract_x
_atom_site_fract_y
_atom_site_fract_z
Cu1 0.500 0.500 0.500
Ba1 0.000 0.000 0.000
Mn1 0.250 0.250 0.250



Which of these has the lowest density of states at the Fermi level? number 1



Which formula does entry 4 have? BaMnCu



density of states at the Fermi level of number 4 (BaMnCu)? 0.6384 states/eV per atom



Which of these has the highest density of states at the Fermi level? BaMn3Cu